[1]
GGA-PBE MgV2Ni2, relaxed; space-group type = P4/mbm (127); energy above the lowest structure with this stoichiometry = 0.00 eV per formula unit; calculated total energy = -6.297 eV/atom
1.0
7.122 0.000 0.000
0.000 7.122 0.000
0.000 0.000 2.665
Mg V Ni
2 4 4
Cartesian
0.000 0.000 0.000
3.561 3.561 0.000
1.194 2.367 1.332
2.367 5.928 1.332
4.755 1.194 1.332
5.928 4.755 1.332
0.892 4.453 0.000
2.670 0.892 0.000
4.453 6.231 0.000
6.231 2.670 0.000

=====

[2]
GGA-PBE Li5Tl4Hg2, relaxed; space-group type = Pbam (55); calculated total energy = -2.022 eV/atom
1.0
7.823 0.000 0.000
0.000 17.954 0.000
0.000 0.000 3.352
Li Tl Hg
10 8 4
Cartesian
0.000 0.000 0.000
0.922 7.603 0.000
1.793 3.667 0.000
2.118 12.644 0.000
2.990 16.580 0.000
3.911 8.977 0.000
4.833 1.373 0.000
5.704 5.310 0.000
6.029 14.287 0.000
6.901 10.350 0.000
0.710 15.458 1.676
1.594 9.969 1.676
2.318 0.992 1.676
3.201 6.481 1.676
4.622 11.473 1.676
5.505 16.962 1.676
6.229 7.985 1.676
7.112 2.496 1.676
0.235 5.419 1.676
3.677 14.396 1.676
4.146 3.558 1.676
7.588 12.535 1.676

=====

[3]
GGA-PBE CsPb2, relaxed; space-group type = C2/m (12); calculated total energy = -2.909 eV/atom
1.0
6.706 -2.634 0.000
6.706 2.634 0.000
-1.262 0.000 7.660
Cs Pb
2 4
Cartesian
1.097 0.000 2.490
11.054 0.000 5.170
1.823 0.000 6.494
5.428 0.000 1.062
6.723 0.000 6.598
10.328 0.000 1.166

=====

Computed values of ρ (unit: g cm⁻³) for the preceding records, in sequence: 5.99 8.84 6.72.
Computed values of energy relative to the elements (unit: eV per atom) for the preceding records, in sequence: -0.0186 -0.2366 -0.1524.